[1]
{
  "formula": "Ca5TlGa4",
  "functional": "GGA-PBE",
  "state": "optimized geometry",
  "magnetic_moment_mub_per_cell": 0.00,
  "e_tot_ev_per_atom": -2.89,
  "lattice_angstrom": [[-2.860, 2.295, -0.647], [-1.068, -2.136, -2.856], [-10.633, -10.020, 11.469]],
  "species": ["Ca", "Ca", "Ca", "Ca", "Ca", "Ga", "Ga", "Ga", "Ga", "Tl"],
  "frac_coords": [[0.500, 0.500, 0.500], [0.500, 0.500, 0.887], [0.500, 0.500, 0.693], [0.500, 0.500, 0.307], [0.500, 0.500, 0.113], [0.000, 0.000, 0.789], [0.000, 0.000, 0.402], [0.000, 0.000, 0.211], [0.000, 0.000, 0.598], [0.000, 0.000, 0.000]]
}



[2]
{
  "formula": "Ca6Tl3Ga",
  "functional": "GGA-PBE",
  "state": "optimized geometry",
  "magnetic_moment_mub_per_cell": 0.00,
  "e_tot_ev_per_atom": -2.58,
  "lattice_angstrom": [[-1.368, 0.022, -5.343], [5.234, -7.740, -1.372], [-11.448, -3.178, 2.919]],
  "species": ["Ca", "Ca", "Ca", "Ca", "Ca", "Ca", "Ca", "Ca", "Ca", "Ca", "Ca", "Ca", "Tl", "Tl", "Tl", "Tl", "Tl", "Tl", "Ga", "Ga"],
  "frac_coords": [[0.250, 0.854, 0.329], [0.750, 0.520, 0.912], [0.250, 0.136, 0.167], [0.750, 0.864, 0.833], [0.750, 0.767, 0.502], [0.250, 0.106, 0.870], [0.750, 0.343, 0.332], [0.750, 0.894, 0.130], [0.250, 0.233, 0.498], [0.750, 0.146, 0.671], [0.250, 0.480, 0.088], [0.250, 0.657, 0.668], [0.750, 0.226, 0.030], [0.750, 0.467, 0.622], [0.250, 0.387, 0.781], [0.250, 0.533, 0.378], [0.750, 0.613, 0.219], [0.250, 0.774, 0.970], [0.250, 0.946, 0.611], [0.750, 0.054, 0.389]]
}



[3]
{
  "formula": "Ca7Tl2Ga",
  "functional": "GGA-PBE",
  "state": "optimized geometry",
  "magnetic_moment_mub_per_cell": 0.00,
  "e_tot_ev_per_atom": -2.46,
  "lattice_angstrom": [[7.340, 0.000, 3.579], [2.509, 8.274, 4.170], [-0.706, 0.428, 10.763]],
  "species": ["Tl", "Tl", "Tl", "Tl", "Ca", "Ca", "Ca", "Ca", "Ca", "Ca", "Ca", "Ca", "Ca", "Ca", "Ca", "Ca", "Ca", "Ca", "Ga", "Ga"],
  "frac_coords": [[0.304, 0.588, 0.802], [0.306, 0.088, 0.302], [0.696, 0.412, 0.198], [0.694, 0.912, 0.698], [0.910, 0.033, 0.361], [0.275, 0.907, 0.907], [0.127, 0.276, 0.001], [0.604, 0.250, 0.750], [0.873, 0.724, 0.999], [0.596, 0.776, 0.501], [0.695, 0.533, 0.861], [0.305, 0.467, 0.139], [0.090, 0.593, 0.593], [0.404, 0.224, 0.499], [0.090, 0.967, 0.639], [0.396, 0.750, 0.250], [0.910, 0.407, 0.407], [0.725, 0.093, 0.093], [0.002, 0.750, 0.250], [0.998, 0.250, 0.750]]
}



[4]
{
  "formula": "Ca4TlGa",
  "functional": "GGA-PBE",
  "state": "optimized geometry",
  "magnetic_moment_mub_per_cell": 0.00,
  "e_tot_ev_per_atom": -2.55,
  "polymorph_energy_mev_per_atom": 0,
  "lattice_angstrom": [[-4.017, 0.166, -4.515], [-0.690, -8.182, 2.518], [-3.514, 5.546, 5.536]],
  "species": ["Ca", "Ca", "Ca", "Ca", "Ca", "Ca", "Ca", "Ca", "Ga", "Ga", "Tl", "Tl"],
  "frac_coords": [[0.657, 0.226, 0.372], [0.843, 0.628, 0.774], [0.065, 0.942, 0.294], [0.935, 0.058, 0.706], [0.435, 0.706, 0.058], [0.157, 0.372, 0.226], [0.565, 0.294, 0.942], [0.343, 0.774, 0.628], [0.750, 0.002, 0.998], [0.250, 0.998, 0.002], [0.750, 0.632, 0.368], [0.250, 0.368, 0.632]]
}



[5]
{
  "formula": "CaTlGa3",
  "functional": "GGA-PBE",
  "state": "optimized geometry",
  "magnetic_moment_mub_per_cell": 0.00,
  "e_tot_ev_per_atom": -2.12,
  "polymorph_energy_mev_per_atom": 232,
  "lattice_angstrom": [[5.618, 0.000, 0.000], [0.000, 5.618, 0.000], [0.000, 0.000, 5.618]],
  "species": ["Ga", "Ga", "Ga", "Ca", "Tl"],
  "frac_coords": [[0.000, 0.500, 0.000], [0.000, 0.000, 0.500], [0.500, 0.000, 0.000], [0.000, 0.000, 0.000], [0.500, 0.500, 0.500]]
}



[6]
{
  "formula": "Ca2TlGa2",
  "functional": "GGA-PBE",
  "state": "optimized geometry",
  "magnetic_moment_mub_per_cell": 0.00,
  "e_tot_ev_per_atom": -2.71,
  "polymorph_energy_mev_per_atom": 148,
  "lattice_angstrom": [[8.702, 0.000, 0.000], [0.000, 8.702, 0.000], [0.000, 0.000, 3.651]],
  "species": ["Ga", "Ga", "Ga", "Ga", "Ca", "Ca", "Ca", "Ca", "Tl", "Tl"],
  "frac_coords": [[0.109, 0.609, 0.500], [0.891, 0.391, 0.500], [0.609, 0.891, 0.500], [0.391, 0.109, 0.500], [0.183, 0.317, 0.000], [0.683, 0.183, 0.000], [0.317, 0.817, 0.000], [0.817, 0.683, 0.000], [0.000, 0.000, 0.000], [0.500, 0.500, 0.000]]
}



[7]
{
  "formula": "CaTlGa3",
  "functional": "GGA-PBE",
  "state": "optimized geometry",
  "magnetic_moment_mub_per_cell": 0.00,
  "e_tot_ev_per_atom": -2.35,
  "polymorph_energy_mev_per_atom": 0,
  "lattice_angstrom": [[-3.690, 0.759, -3.865], [-3.921, -0.217, 3.702], [0.365, 5.339, 0.699]],
  "species": ["Tl", "Ga", "Ga", "Ga", "Ca"],
  "frac_coords": [[0.000, 0.000, 0.000], [0.000, 0.000, 0.500], [0.000, 0.500, 0.000], [0.500, 0.000, 0.000], [0.500, 0.500, 0.500]]
}



[8]
{
  "formula": "Ca2TlGa2",
  "functional": "GGA-PBE",
  "state": "optimized geometry",
  "magnetic_moment_mub_per_cell": 0.00,
  "e_tot_ev_per_atom": -2.64,
  "polymorph_energy_mev_per_atom": 218,
  "lattice_angstrom": [[-3.445, 0.819, -4.665], [-2.819, -4.989, 1.206], [-5.919, 0.078, 0.708]],
  "species": ["Ca", "Ca", "Ga", "Ga", "Tl"],
  "frac_coords": [[0.750, 0.250, 0.500], [0.250, 0.750, 0.500], [0.358, 0.358, 0.284], [0.642, 0.642, 0.716], [0.000, 0.000, 0.000]]
}



[9]
{
  "formula": "Ca6Tl5Ga",
  "functional": "GGA-PBE",
  "state": "optimized geometry",
  "magnetic_moment_mub_per_cell": 0.00,
  "e_tot_ev_per_atom": -2.67,
  "lattice_angstrom": [[-4.576, -0.046, 2.965], [-1.391, -7.231, -2.260], [6.459, -2.806, 5.001]],
  "species": ["Ga", "Ca", "Ca", "Ca", "Ca", "Ca", "Ca", "Tl", "Tl", "Tl", "Tl", "Tl"],
  "frac_coords": [[0.000, 0.000, 0.000], [0.162, 0.246, 0.326], [0.500, 0.241, 0.000], [0.500, 0.759, 0.000], [0.162, 0.754, 0.326], [0.838, 0.754, 0.674], [0.838, 0.246, 0.674], [0.333, 0.000, 0.664], [0.333, 0.500, 0.665], [0.667, 0.000, 0.336], [0.000, 0.500, 0.000], [0.667, 0.500, 0.335]]
}



[10]
{
  "formula": "CaTl2Ga",
  "functional": "GGA-PBE",
  "state": "optimized geometry",
  "magnetic_moment_mub_per_cell": 0.00,
  "e_tot_ev_per_atom": -2.61,
  "polymorph_energy_mev_per_atom": 48,
  "lattice_angstrom": [[0.000, 3.771, 3.771], [3.771, 0.000, 3.771], [3.771, 3.771, 0.000]],
  "species": ["Tl", "Tl", "Ga", "Ca"],
  "frac_coords": [[0.250, 0.250, 0.250], [0.750, 0.750, 0.750], [0.500, 0.500, 0.500], [0.000, 0.000, 0.000]]
}



[11]
{
  "formula": "CaTl2Ga",
  "functional": "GGA-PBE",
  "state": "optimized geometry",
  "magnetic_moment_mub_per_cell": 0.00,
  "e_tot_ev_per_atom": -2.61,
  "polymorph_energy_mev_per_atom": 47,
  "lattice_angstrom": [[3.812, 0.000, 0.000], [0.000, 3.812, 0.000], [0.000, 0.000, 7.393]],
  "species": ["Tl", "Tl", "Ca", "Ga"],
  "frac_coords": [[0.000, 0.000, 0.774], [0.000, 0.000, 0.226], [0.500, 0.500, 0.500], [0.500, 0.500, 0.000]]
}



[12]
{
  "formula": "Ca5Tl2Ga",
  "functional": "GGA-PBE",
  "state": "optimized geometry",
  "magnetic_moment_mub_per_cell": 0.00,
  "e_tot_ev_per_atom": -2.57,
  "lattice_angstrom": [[5.334, 0.000, 0.000], [0.000, 6.946, 0.000], [0.000, 0.000, 13.217]],
  "species": ["Ca", "Ca", "Ca", "Ca", "Ca", "Ca", "Ca", "Ca", "Ca", "Ca", "Tl", "Tl", "Tl", "Tl", "Ga", "Ga"],
  "frac_coords": [[0.500, 0.165, 0.102], [0.500, 0.835, 0.898], [0.000, 0.626, 0.722], [0.500, 0.665, 0.398], [0.000, 0.000, 0.500], [0.000, 0.874, 0.222], [0.500, 0.335, 0.602], [0.000, 0.374, 0.278], [0.000, 0.500, 0.000], [0.000, 0.126, 0.778], [0.500, 0.636, 0.140], [0.500, 0.136, 0.360], [0.500, 0.864, 0.640], [0.500, 0.364, 0.860], [0.000, 0.500, 0.500], [0.000, 0.000, 0.000]]
}



[13]
{
  "formula": "Ca4Tl3Ga",
  "functional": "GGA-PBE",
  "state": "optimized geometry",
  "magnetic_moment_mub_per_cell": 0.00,
  "e_tot_ev_per_atom": -2.70,
  "lattice_angstrom": [[3.807, 0.000, 0.000], [0.000, 3.807, 0.000], [0.000, 0.000, 15.686]],
  "species": ["Ca", "Ca", "Ca", "Ca", "Ga", "Tl", "Tl", "Tl"],
  "frac_coords": [[0.000, 0.000, 0.629], [0.000, 0.000, 0.371], [0.000, 0.000, 0.887], [0.000, 0.000, 0.113], [0.500, 0.500, 0.000], [0.500, 0.500, 0.242], [0.500, 0.500, 0.758], [0.500, 0.500, 0.500]]
}



[14]
{
  "formula": "Ca4Tl5Ga2",
  "functional": "GGA-PBE",
  "state": "optimized geometry",
  "magnetic_moment_mub_per_cell": 0.00,
  "e_tot_ev_per_atom": -2.69,
  "lattice_angstrom": [[3.794, 0.000, 0.000], [0.000, 8.361, 0.261], [0.000, -0.499, 9.684]],
  "species": ["Tl", "Tl", "Tl", "Tl", "Tl", "Ga", "Ga", "Ca", "Ca", "Ca", "Ca"],
  "frac_coords": [[0.000, 0.132, 0.132], [0.000, 0.566, 0.341], [0.000, 0.434, 0.659], [0.000, 0.500, 0.000], [0.000, 0.868, 0.868], [0.000, 0.928, 0.378], [0.000, 0.072, 0.622], [0.500, 0.797, 0.141], [0.500, 0.203, 0.859], [0.500, 0.242, 0.401], [0.500, 0.758, 0.599]]
}



[15]
{
  "formula": "Ca4TlGa3",
  "functional": "GGA-PBE",
  "state": "optimized geometry",
  "magnetic_moment_mub_per_cell": 0.00,
  "e_tot_ev_per_atom": -2.86,
  "lattice_angstrom": [[-2.954, 1.050, 2.564], [-3.038, -2.363, -2.534], [2.127, -9.567, 6.369]],
  "species": ["Tl", "Ca", "Ca", "Ca", "Ca", "Ga", "Ga", "Ga"],
  "frac_coords": [[0.500, 0.500, 0.075], [0.000, 0.500, 0.847], [0.500, 0.000, 0.643], [0.000, 0.000, 0.152], [0.500, 0.500, 0.361], [0.000, 0.500, 0.570], [0.000, 0.000, 0.432], [0.500, 0.000, 0.920]]
}



[16]
{
  "formula": "CaTlZnGa",
  "functional": "GGA-PBE",
  "state": "optimized geometry",
  "magnetic_moment_mub_per_cell": 0.00,
  "e_tot_ev_per_atom": -2.32,
  "lattice_angstrom": [[-3.109, -3.655, -1.600], [1.893, -4.168, -2.152], [-0.182, -4.419, 2.454]],
  "species": ["Ca", "Zn", "Tl", "Ga"],
  "frac_coords": [[0.750, 0.750, 0.750], [0.250, 0.250, 0.250], [0.500, 0.500, 0.500], [0.000, 0.000, 0.000]]
}



[17]
{
  "formula": "Ca2TlZn4Ga3",
  "functional": "GGA-PBE",
  "state": "optimized geometry",
  "magnetic_moment_mub_per_cell": 0.00,
  "e_tot_ev_per_atom": -2.31,
  "lattice_angstrom": [[4.303, 0.000, 0.000], [0.000, 4.303, 0.000], [0.000, 0.000, 11.220]],
  "species": ["Ga", "Ga", "Ga", "Tl", "Ca", "Ca", "Zn", "Zn", "Zn", "Zn"],
  "frac_coords": [[0.500, 0.000, 0.871], [0.000, 0.500, 0.129], [0.000, 0.000, 0.500], [0.500, 0.500, 0.500], [0.000, 0.500, 0.766], [0.500, 0.000, 0.234], [0.000, 0.500, 0.348], [0.500, 0.500, 0.000], [0.000, 0.000, 0.000], [0.500, 0.000, 0.652]]
}



[18]
{
  "formula": "CaTm2Ga",
  "functional": "GGA-PBE",
  "state": "optimized geometry",
  "magnetic_moment_mub_per_cell": 0.00,
  "e_tot_ev_per_atom": -3.63,
  "polymorph_energy_mev_per_atom": 92,
  "lattice_angstrom": [[-0.423, -4.010, 2.307], [-0.502, -2.329, -4.140], [4.730, -0.626, -0.221]],
  "species": ["Ga", "Ca", "Tm", "Tm"],
  "frac_coords": [[0.500, 0.500, 0.500], [0.500, 0.000, 0.000], [0.000, 0.500, 0.000], [0.000, 0.000, 0.500]]
}



[19]
{
  "formula": "CaTmGa3",
  "functional": "GGA-PBE",
  "state": "optimized geometry",
  "magnetic_moment_mub_per_cell": 0.00,
  "e_tot_ev_per_atom": -3.63,
  "lattice_angstrom": [[-0.026, 3.711, -2.182], [-0.150, -2.016, -3.426], [-13.086, 1.192, 2.182]],
  "species": ["Tm", "Tm", "Ga", "Ga", "Ga", "Ga", "Ga", "Ga", "Ca", "Ca"],
  "frac_coords": [[0.250, 0.793, 0.585], [0.750, 0.207, 0.415], [0.750, 0.321, 0.643], [0.250, 0.679, 0.357], [0.250, 0.379, 0.758], [0.750, 0.524, 0.048], [0.750, 0.621, 0.242], [0.250, 0.476, 0.952], [0.750, 0.925, 0.850], [0.250, 0.075, 0.150]]
}



[20]
{
  "formula": "CaTmGa2",
  "functional": "GGA-PBE",
  "state": "optimized geometry",
  "magnetic_moment_mub_per_cell": 0.00,
  "e_tot_ev_per_atom": -3.64,
  "lattice_angstrom": [[-1.768, 2.237, -2.173], [0.523, -2.249, -2.742], [-6.220, -3.377, 1.583]],
  "species": ["Ga", "Ga", "Ca", "Tm"],
  "frac_coords": [[0.000, 0.000, 0.236], [0.000, 0.000, 0.764], [0.500, 0.500, 0.500], [0.500, 0.500, 0.000]]
}